(i)
! EuLuIr2 (GGA-PBE, relaxed); values from VASP
! - magnetic moment (μB/cell) = 6.64
! - crystal system = cubic
! - Fermi-level density of states (states/eV/f.u.) = 10.34
! - SG = No. 225
&SYSTEM
  ibrav = 0, nat = 4, ntyp = 3
/
ATOMIC_SPECIES
Eu 151.96 Eu.upf
Lu 174.97 Lu.upf
Ir 192.22 Ir.upf
CELL_PARAMETERS angstrom
0.000 3.425 3.425
3.425 0.000 3.425
3.425 3.425 0.000
ATOMIC_POSITIONS angstrom
Eu 0.000 0.000 0.000
Lu 3.425 3.425 3.425
Ir 1.713 1.713 1.713
Ir 5.138 5.138 5.138



(ii)
! EuLuIr2 (GGA-PBE, relaxed); values from VASP
! - magnetic moment (μB/cell) = 6.69
! - crystal system = tetragonal
! - Fermi-level density of states (states/eV/f.u.) = 9.00
! - SG = No. 123
&SYSTEM
  ibrav = 0, nat = 4, ntyp = 3
/
ATOMIC_SPECIES
Eu 151.96 Eu.upf
Lu 174.97 Lu.upf
Ir 192.22 Ir.upf
CELL_PARAMETERS angstrom
3.312 0.000 0.000
0.000 3.312 0.000
0.000 0.000 7.372
ATOMIC_POSITIONS angstrom
Eu 0.000 0.000 0.000
Lu 0.000 0.000 3.686
Ir 1.656 1.656 2.028
Ir 1.656 1.656 5.344



Q: What are the energies relative to the best structure? A: (i) 6.8; (ii) 0.0, in kJ/mol of atoms.



(i)
! NdEuIr2 (GGA-PBE, relaxed); values from VASP
! - magnetic moment (μB/cell) = 6.60
! - crystal system = cubic
! - Fermi-level density of states (states/eV/f.u.) = 10.73
! - SG = No. 225
&SYSTEM
  ibrav = 0, nat = 4, ntyp = 3
/
ATOMIC_SPECIES
Nd 144.24 Nd.upf
Eu 151.96 Eu.upf
Ir 192.22 Ir.upf
CELL_PARAMETERS angstrom
0.000 3.527 3.527
3.527 0.000 3.527
3.527 3.527 0.000
ATOMIC_POSITIONS angstrom
Nd 0.000 0.000 0.000
Eu 3.527 3.527 3.527
Ir 1.763 1.763 1.763
Ir 5.290 5.290 5.290



(ii)
! NdEuIr2 (GGA-PBE, relaxed); values from VASP
! - magnetic moment (μB/cell) = 6.67
! - crystal system = tetragonal
! - Fermi-level density of states (states/eV/f.u.) = 10.95
! - SG = No. 123
&SYSTEM
  ibrav = 0, nat = 4, ntyp = 3
/
ATOMIC_SPECIES
Nd 144.24 Nd.upf
Eu 151.96 Eu.upf
Ir 192.22 Ir.upf
CELL_PARAMETERS angstrom
3.419 0.000 0.000
0.000 3.419 0.000
0.000 0.000 7.497
ATOMIC_POSITIONS angstrom
Nd 0.000 0.000 0.000
Eu 0.000 0.000 3.748
Ir 1.709 1.709 1.827
Ir 1.709 1.709 5.669



Q: What are the energies relative to the best structure? A: (i) 0.9; (ii) 0.0, in kJ/mol of atoms.



(i)
! EuPaIr2 (GGA-PBE, relaxed); values from VASP
! - magnetic moment (μB/cell) = 6.97
! - crystal system = tetragonal
! - Fermi-level density of states (states/eV/f.u.) = 8.38
! - SG = No. 123
&SYSTEM
  ibrav = 0, nat = 4, ntyp = 3
/
ATOMIC_SPECIES
Eu 151.96 Eu.upf
Pa 231.04 Pa.upf
Ir 192.22 Ir.upf
CELL_PARAMETERS angstrom
3.492 0.000 0.000
0.000 3.492 0.000
0.000 0.000 7.273
ATOMIC_POSITIONS angstrom
Eu 0.000 0.000 0.000
Pa 0.000 0.000 3.636
Ir 1.746 1.746 2.151
Ir 1.746 1.746 5.122



(ii)
! EuPaIr2 (GGA-PBE, relaxed); values from VASP
! - magnetic moment (μB/cell) = 7.07
! - crystal system = cubic
! - Fermi-level density of states (states/eV/f.u.) = 3.49
! - SG = No. 225
&SYSTEM
  ibrav = 0, nat = 4, ntyp = 3
/
ATOMIC_SPECIES
Eu 151.96 Eu.upf
Pa 231.04 Pa.upf
Ir 192.22 Ir.upf
CELL_PARAMETERS angstrom
0.000 3.476 3.476
3.476 0.000 3.476
3.476 3.476 0.000
ATOMIC_POSITIONS angstrom
Eu 0.000 0.000 0.000
Pa 3.476 3.476 3.476
Ir 1.738 1.738 1.738
Ir 5.214 5.214 5.214



Q: What are the energies relative to the best structure? A: (i) 0.0; (ii) 16.9, in kJ/mol of atoms.



(i)
! EuPuIr (GGA-PBE, relaxed); values from VASP
! - magnetic moment (μB/cell) = 1.30
! - crystal system = trigonal
! - Fermi-level density of states (states/eV/f.u.) = 7.77
! - SG = No. 156
&SYSTEM
  ibrav = 0, nat = 3, ntyp = 3
/
ATOMIC_SPECIES
Eu 151.96 Eu.upf
Pu 244.00 Pu.upf
Ir 192.22 Ir.upf
CELL_PARAMETERS angstrom
4.874 0.000 0.000
-2.437 4.221 0.000
0.000 0.000 3.196
ATOMIC_POSITIONS angstrom
Eu 0.000 0.000 0.000
Pu 2.437 1.407 1.995
Ir 0.000 2.814 1.185



(ii)
! EuPuIr (GGA-PBE, relaxed); values from VASP
! - magnetic moment (μB/cell) = 1.63
! - crystal system = cubic
! - Fermi-level density of states (states/eV/f.u.) = 23.34
! - SG = No. 216
&SYSTEM
  ibrav = 0, nat = 3, ntyp = 3
/
ATOMIC_SPECIES
Eu 151.96 Eu.upf
Pu 244.00 Pu.upf
Ir 192.22 Ir.upf
CELL_PARAMETERS angstrom
0.000 3.435 3.435
3.435 0.000 3.435
3.435 3.435 0.000
ATOMIC_POSITIONS angstrom
Eu 0.000 0.000 0.000
Pu 3.435 3.435 3.435
Ir 5.152 5.152 5.152



(iii)
! EuPuIr (GGA-PBE, relaxed); values from VASP
! - magnetic moment (μB/cell) = 12.40
! - crystal system = tetragonal
! - Fermi-level density of states (states/eV/f.u.) = 8.44
! - SG = No. 107
&SYSTEM
  ibrav = 0, nat = 3, ntyp = 3
/
ATOMIC_SPECIES
Eu 151.96 Eu.upf
Pu 244.00 Pu.upf
Ir 192.22 Ir.upf
CELL_PARAMETERS angstrom
-1.820 1.820 5.702
1.820 -1.820 5.702
1.820 1.820 -5.702
ATOMIC_POSITIONS angstrom
Eu 0.000 0.000 0.000
Pu 0.000 0.000 3.178
Ir 0.000 0.000 7.752



Q: What are the energies relative to the best structure? A: (i) 20.3; (ii) 8.5; (iii) 0.0, in kJ/mol of atoms.



(i)
! EuPuIr2 (GGA-PBE, relaxed); values from VASP
! - magnetic moment (μB/cell) = 2.26
! - crystal system = cubic
! - Fermi-level density of states (states/eV/f.u.) = 15.03
! - SG = No. 225
&SYSTEM
  ibrav = 0, nat = 4, ntyp = 3
/
ATOMIC_SPECIES
Eu 151.96 Eu.upf
Pu 244.00 Pu.upf
Ir 192.22 Ir.upf
CELL_PARAMETERS angstrom
0.000 3.458 3.458
3.458 0.000 3.458
3.458 3.458 0.000
ATOMIC_POSITIONS angstrom
Eu 0.000 0.000 0.000
Pu 3.458 3.458 3.458
Ir 1.729 1.729 1.729
Ir 5.187 5.187 5.187



(ii)
! EuPuIr2 (GGA-PBE, relaxed); values from VASP
! - magnetic moment (μB/cell) = 10.73
! - crystal system = tetragonal
! - Fermi-level density of states (states/eV/f.u.) = 10.17
! - SG = No. 123
&SYSTEM
  ibrav = 0, nat = 4, ntyp = 3
/
ATOMIC_SPECIES
Eu 151.96 Eu.upf
Pu 244.00 Pu.upf
Ir 192.22 Ir.upf
CELL_PARAMETERS angstrom
4.894 0.000 0.000
0.000 4.894 0.000
0.000 0.000 3.460
ATOMIC_POSITIONS angstrom
Eu 0.000 0.000 0.000
Pu 2.447 2.447 0.000
Ir 0.000 2.447 1.730
Ir 2.447 0.000 1.730



Q: What are the energies relative to the best structure? A: (i) 2.1; (ii) 0.0, in kJ/mol of atoms.



(i)
! RbEu2Ir (GGA-PBE, relaxed); values from VASP
! - magnetic moment (μB/cell) = 13.88
! - crystal system = trigonal
! - Fermi-level density of states (states/eV/f.u.) = 16.35
! - SG = No. 166
&SYSTEM
  ibrav = 0, nat = 4, ntyp = 3
/
ATOMIC_SPECIES
Rb 85.47 Rb.upf
Eu 151.96 Eu.upf
Ir 192.22 Ir.upf
CELL_PARAMETERS angstrom
2.135 1.233 11.368
-2.135 1.233 11.368
0.000 -2.466 11.368
ATOMIC_POSITIONS angstrom
Rb 0.000 0.000 0.000
Eu 0.000 0.000 4.211
Eu 0.000 0.000 29.893
Ir 0.000 0.000 17.052



(ii)
! RbEu2Ir (GGA-PBE, relaxed); values from VASP
! - magnetic moment (μB/cell) = 14.30
! - crystal system = tetragonal
! - Fermi-level density of states (states/eV/f.u.) = 14.76
! - SG = No. 123
&SYSTEM
  ibrav = 0, nat = 4, ntyp = 3
/
ATOMIC_SPECIES
Rb 85.47 Rb.upf
Eu 151.96 Eu.upf
Ir 192.22 Ir.upf
CELL_PARAMETERS angstrom
3.660 0.000 0.000
0.000 3.660 0.000
0.000 0.000 11.120
ATOMIC_POSITIONS angstrom
Rb 0.000 0.000 0.000
Eu 1.830 1.830 3.921
Eu 1.830 1.830 7.199
Ir 0.000 0.000 5.560



Q: What are the energies relative to the best structure? A: (i) 0.0; (ii) 1.0, in kJ/mol of atoms.